(1)
Below is a geometry-optimized NpSi2Pd structure, with properties calculated at the GGA-PBE level.

Unit cell a=7.2291 b=3.9218 c=9.9456 alpha=90.00 beta=90.00 gamma=90.00
With the nearest neighbours (Å) after each atom.
Fractional positions:
Np  0.1288  0.2500  0.1261  9 Si 2.94-3.11
Np  0.6288  0.2500  0.3739  9 Si 2.94-3.11
Np  0.3712  0.7500  0.6261  9 Si 2.94-3.11
Np  0.8712  0.7500  0.8739  9 Si 2.94-3.11
Pd  0.5062  0.7500  0.1089  5 Si 2.38-2.55
Pd  0.0062  0.7500  0.3911  5 Si 2.38-2.55
Pd  0.9938  0.2500  0.6089  5 Si 2.38-2.55
Pd  0.4938  0.2500  0.8911  5 Si 2.38-2.55
Si  0.7253  0.2500  0.0716  2 Si 2.41, 3 Pd 2.45-2.55
Si  0.8371  0.7500  0.1858  2 Pd 2.38-2.51, 2 Si 2.41
Si  0.3371  0.7500  0.3142  2 Pd 2.38-2.51, 2 Si 2.41
Si  0.2253  0.2500  0.4284  2 Si 2.41, 3 Pd 2.45-2.55
Si  0.7747  0.7500  0.5716  2 Si 2.41, 3 Pd 2.45-2.55
Si  0.6629  0.2500  0.6858  2 Pd 2.38-2.51, 2 Si 2.41
Si  0.1629  0.2500  0.8142  2 Pd 2.38-2.51, 2 Si 2.41
Si  0.2747  0.7500  0.9284  2 Si 2.41, 3 Pd 2.45-2.55

Calculated total energy   -7.75 eV/atom

(2)
Below is a geometry-optimized YInCoOs structure, with properties calculated at the GGA-PBE level.

Unit cell a=4.6953 b=4.6953 c=4.6953 alpha=60.00 beta=60.00 gamma=60.00
With the nearest neighbours (Å) after each atom.
Fractional positions:
Co  0.7500  0.7500  0.7500  4 In 2.88, 4 Os 2.88
In  0.0000  0.0000  0.0000  4 Y 2.88, 4 Co 2.88
Os  0.5000  0.5000  0.5000  4 Y 2.88, 4 Co 2.88
Y  0.2500  0.2500  0.2500  4 Os 2.88, 4 In 2.88

Calculated total energy   -6.50 eV/atom

(3)
Below is a geometry-optimized RbPrAsO structure, with properties calculated at the GGA-PBE level.

Unit cell a=4.2735 b=4.2735 c=11.1455 alpha=90.00 beta=90.00 gamma=90.00
With the nearest neighbours (Å) after each atom.
Fractional positions:
As  0.7500  0.7500  0.2680  4 Rb 3.35, 4 Pr 3.57, 4 O 3.67
As  0.2500  0.2500  0.7320  4 Rb 3.35, 4 Pr 3.57, 4 O 3.67
O  0.7500  0.2500  0.0000  4 Pr 2.39
O  0.2500  0.7500  0.0000  4 Pr 2.39
Pr  0.2500  0.2500  0.0970  4 O 2.39
Pr  0.7500  0.7500  0.9030  4 O 2.39
Rb  0.7500  0.2500  0.5000  4 Rb 3.02, 4 As 3.35
Rb  0.2500  0.7500  0.5000  4 Rb 3.02, 4 As 3.35

Calculated total energy   -5.19 eV/atom

Number 1: magnetic moment 0.9380 μB/atom. Number 2: magnetic moment 0.7222 μB/atom. Number 3: magnetic moment 0.0014 μB/atom.